A PBEsol-optimized structure of MnZnFe2. Source: Alexandria via LeMat-Bulk, functional meta-GGA SCAN.

```
MnZnFe2
1.0
0.000 2.861 2.861
2.861 0.000 2.861
2.861 2.861 0.000
Mn Zn Fe
1 1 2
Direct
0.000 0.000 0.000
0.750 0.750 0.750
0.250 0.250 0.250
0.500 0.500 0.500
```

## Properties
The calculation puts the electronic total energy at -17.03 eV per atom. The calculation puts the calculated formation energy at -0.0229 eV/atom. Its space group is No. 216.